Crystalline La2AlIrO6 at its relaxed geometry. Source: Alexandria, functional GGA-PBE.

- Magnetic moment: 0.00 μB per cell
- Formation energy (no corrections): -2.549 eV per atom
- Volume: 238.3 Å³ per cell

a = 5.5138 Å, b = 5.5326 Å, c = 7.8125 Å
α = 90.00°, β = 90.00°, γ = 90.00°
Last column: nearest neighbours and their distance in Å.
Fractional positions:
O  0.2591  0.0107  0.5000  1 Al 1.88, 1 Ir 2.03
O  0.0000  0.7501  0.7599  1 Al 1.88, 1 Ir 2.03
O  0.2409  0.5108  0.0000  1 Al 1.88, 1 Ir 2.03
O  0.7409  0.0107  0.5000  1 Al 1.88, 1 Ir 2.03
Ir  0.0000  0.7500  0.5000  6 O 2.03
O  0.2591  0.4892  0.5000  1 Al 1.88, 1 Ir 2.03
O  0.7591  0.9893  0.0000  1 Al 1.88, 1 Ir 2.03
O  0.5000  0.2499  0.7401  1 Al 1.88, 1 Ir 2.03
O  0.0000  0.7501  0.2401  1 Al 1.88, 1 Ir 2.03
La  0.5000  0.7500  0.7507  12 O 2.75-2.77
La  0.0000  0.2500  0.2507  12 O 2.75-2.77
O  0.7591  0.5108  0.0000  1 Al 1.88, 1 Ir 2.03
Al  0.5000  0.2500  0.5000  6 O 1.88
La  0.0000  0.2500  0.7493  12 O 2.75-2.77
La  0.5000  0.7500  0.2493  12 O 2.75-2.77
O  0.7409  0.4892  0.5000  1 Al 1.88, 1 Ir 2.03
O  0.5000  0.2499  0.2599  1 Al 1.88, 1 Ir 2.03
Al  0.0000  0.7500  0.0000  6 O 1.88
Ir  0.5000  0.2500  0.0000  6 O 2.03
O  0.2409  0.9893  0.0000  1 Al 1.88, 1 Ir 2.03